# 1
VASP calculation (meta-GGA SCAN) on a crystal of K3Fe2Se4 relaxed with PBEsol.

Structure (CIF):
```
data_K3Fe2Se4
_chemical_formula_sum 'K12 Fe8 Se16'
_space_group_name_H-M_alt 'P n m a'
_space_group_IT_number 62
_cell_length_a 7.2867
_cell_length_b 10.8261
_cell_length_c 12.0780
_cell_angle_alpha 90.00
_cell_angle_beta 90.00
_cell_angle_gamma 90.00
loop_
_space_group_symop_operation_xyz
'x,y,z'
'-x,-y,-z'
'-x+1/2,-y,z+1/2'
'x+1/2,y,-z+1/2'
'x+1/2,-y+1/2,-z+1/2'
'-x+1/2,y+1/2,z+1/2'
'-x,y+1/2,-z'
'x,-y+1/2,z'
loop_
_atom_site_label
_atom_site_fract_x
_atom_site_fract_y
_atom_site_fract_z
K1 0.0847 0.0664 0.1340
K2 0.0901 0.2500 0.7583
Fe1 0.0565 0.1317 0.4711
Se1 0.0735 0.7500 0.6714
Se2 0.1535 0.5571 0.3914
Se3 0.1853 0.7500 0.0325
```

Calculated values
calculated volume = 26.5 Å³/atom
formation energy without anion corrections = -0.9605 eV/atom

# 2
VASP calculation (meta-GGA SCAN) on a crystal of TlSnPCl2 relaxed with PBEsol.

Structure (CIF):
```
data_TlSnPCl2
_chemical_formula_sum 'Tl1 Sn1 P1 Cl2'
_space_group_name_H-M_alt 'P 4/m m m'
_space_group_IT_number 123
_space_group_name_Hall '-P 4 2'
_cell_length_a 5.2531
_cell_length_b 5.2531
_cell_length_c 5.1088
_cell_angle_alpha 90.00
_cell_angle_beta 90.00
_cell_angle_gamma 90.00
loop_
_atom_site_label
_atom_site_fract_x
_atom_site_fract_y
_atom_site_fract_z
Tl1 0.0000 0.0000 0.0000
Sn1 0.5000 0.5000 0.5000
P1 0.5000 0.5000 0.0000
Cl1 0.0000 0.5000 0.5000
```

Calculated values
calculated volume = 28.2 Å³/atom
formation energy without anion corrections = -0.2537 eV/atom

# 3
VASP calculation (meta-GGA SCAN) on a crystal of Ca2NbIrI relaxed with PBEsol.

Structure (CIF):
```
data_Ca2NbIrI
_chemical_formula_sum 'Ca2 Nb1 Ir1 I1'
_space_group_name_H-M_alt 'P 4/m m m'
_space_group_IT_number 123
_space_group_name_Hall '-P 4 2'
_cell_length_a 5.8626
_cell_length_b 5.8626
_cell_length_c 4.5877
_cell_angle_alpha 90.00
_cell_angle_beta 90.00
_cell_angle_gamma 90.00
loop_
_atom_site_label
_atom_site_fract_x
_atom_site_fract_y
_atom_site_fract_z
Ca1 0.0000 0.5000 0.0000
Nb1 0.0000 0.0000 0.0000
Ir1 0.0000 0.0000 0.5000
I1 0.5000 0.5000 0.5000
```

Calculated values
calculated volume = 31.5 Å³/atom
formation energy without anion corrections = 0.4082 eV/atom

# 4
VASP calculation (meta-GGA SCAN) on a crystal of BiP5O14 relaxed with PBEsol.

Structure (CIF):
```
data_BiP5O14
_chemical_formula_sum 'Bi4 P20 O56'
_space_group_name_H-M_alt 'P n m a'
_space_group_IT_number 62
_cell_length_a 8.7809
_cell_length_b 12.9418
_cell_length_c 9.1179
_cell_angle_alpha 90.00
_cell_angle_beta 90.00
_cell_angle_gamma 90.00
loop_
_space_group_symop_operation_xyz
'x,y,z'
'-x,-y,-z'
'-x+1/2,-y,z+1/2'
'x+1/2,y,-z+1/2'
'x+1/2,-y+1/2,-z+1/2'
'-x+1/2,y+1/2,z+1/2'
'-x,y+1/2,-z'
'x,-y+1/2,z'
loop_
_atom_site_label
_atom_site_fract_x
_atom_site_fract_y
_atom_site_fract_z
Bi1 0.0226 0.2500 0.0632
P1 0.0103 0.5836 0.2969
P2 0.0708 0.7500 0.5048
P3 0.2420 0.5645 0.7718
O1 0.0086 0.6351 0.1534
O2 0.0245 0.1541 0.5663
O3 0.0379 0.7500 0.6641
O4 0.1114 0.5040 0.6798
O5 0.1581 0.1117 0.1578
O6 0.1662 0.5319 0.3436
O7 0.1753 0.6242 0.8948
O8 0.2282 0.7500 0.4422
```

Calculated values
calculated volume = 13.0 Å³/atom
formation energy without anion corrections = -2.2106 eV/atom